No. 1
The following is a PBE-GGA calculation of a geometry-optimized SrCe2N structure, from Alexandria via LeMat-Bulk.

Crystal system ... trigonal
N(E_F) ... 9.098 states/eV/cell
Energy ... -5.9739 eV/atom
SG ... R-3m

a = 10.231 Å, b = 10.231 Å, c = 10.231 Å
α = 20.18°, β = 20.18°, γ = 20.18°
Positions (direct):
Sr  0.000  0.000  0.000
Ce  0.121  0.121  0.121
Ce  0.879  0.879  0.879
N  0.500  0.500  0.500

---

No. 2
The following is a PBE-GGA calculation of a geometry-optimized SrCeN2 structure, from Alexandria via LeMat-Bulk.

Crystal system ... trigonal
Energy ... -7.1629 eV/atom
SG ... R3m

a = 6.502 Å, b = 6.502 Å, c = 6.502 Å
α = 32.24°, β = 32.24°, γ = 32.24°
Positions (direct):
Sr  0.000  0.000  0.000
Ce  0.170  0.170  0.170
N  0.574  0.574  0.574
N  0.771  0.771  0.771

---

No. 3
The following is a PBE-GGA calculation of a geometry-optimized SrCeN2 structure, from Alexandria via LeMat-Bulk.

Crystal system ... monoclinic
Energy ... -7.2289 eV/atom
SG ... Cc

a = 6.330 Å, b = 6.330 Å, c = 5.139 Å
α = 113.93°, β = 113.93°, γ = 108.17°
Positions (direct):
Sr  0.124  0.876  0.500
Sr  0.876  0.124  0.000
Ce  0.386  0.636  0.009
Ce  0.636  0.386  0.509
N  0.094  0.788  0.942
N  0.394  0.589  0.500
N  0.589  0.394  0.000
N  0.788  0.094  0.442

---

No. 4
The following is a PBE-GGA calculation of a geometry-optimized Sr2CeTa3N8 structure, from Alexandria via LeMat-Bulk.

Crystal system ... trigonal
N(E_F) ... 8.279 states/eV/cell
Energy ... -8.9378 eV/atom
SG ... R3m

a = 7.190 Å, b = 7.190 Å, c = 7.190 Å
α = 53.51°, β = 53.51°, γ = 53.51°
Positions (direct):
Sr  0.000  0.000  0.000
Sr  0.356  0.356  0.356
Ce  0.814  0.814  0.814
Ta  0.361  0.361  0.860
Ta  0.361  0.860  0.361
Ta  0.860  0.361  0.361
N  0.084  0.084  0.567
N  0.084  0.567  0.084
N  0.133  0.133  0.133
N  0.169  0.604  0.604
N  0.567  0.084  0.084
N  0.582  0.582  0.582
N  0.604  0.169  0.604
N  0.604  0.604  0.169

---

No. 5
The following is a PBE-GGA calculation of a geometry-optimized Sr3Ce2TaN6 structure, from Alexandria via LeMat-Bulk.

Crystal system ... monoclinic
N(E_F) ... 5.734 states/eV/cell
Energy ... -7.7110 eV/atom
SG ... C2/m

a = 6.092 Å, b = 6.092 Å, c = 6.276 Å
α = 99.27°, β = 99.27°, γ = 120.05°
Positions (direct):
Sr  0.000  0.000  0.000
Sr  0.336  0.664  0.000
Sr  0.664  0.336  0.000
Ce  0.167  0.833  0.500
Ce  0.833  0.167  0.500
Ta  0.500  0.500  0.500
N  0.129  0.433  0.300
N  0.262  0.262  0.700
N  0.433  0.129  0.300
N  0.567  0.871  0.700
N  0.738  0.738  0.300
N  0.871  0.567  0.700

---

No. 6
The following is a PBE-GGA calculation of a geometry-optimized SrCe2Ta3N8 structure, from Alexandria via LeMat-Bulk.

Crystal system ... trigonal
N(E_F) ... 8.273 states/eV/cell
Energy ... -9.4089 eV/atom
SG ... R3m

a = 6.811 Å, b = 6.811 Å, c = 6.811 Å
α = 56.89°, β = 56.89°, γ = 56.89°
Positions (direct):
Sr  0.000  0.000  0.000
Ce  0.372  0.372  0.372
Ce  0.750  0.750  0.750
Ta  0.370  0.370  0.881
Ta  0.370  0.881  0.370
Ta  0.881  0.370  0.370
N  0.130  0.130  0.558
N  0.130  0.558  0.130
N  0.143  0.143  0.143
N  0.171  0.618  0.618
N  0.558  0.130  0.130
N  0.606  0.606  0.606
N  0.618  0.171  0.618
N  0.618  0.618  0.171

---

No. 7
The following is a PBE-GGA calculation of a geometry-optimized SrCe2TaN4 structure, from Alexandria via LeMat-Bulk.

Crystal system ... orthorhombic
N(E_F) ... 18.096 states/eV/cell
Energy ... -8.4911 eV/atom
SG ... Cmcm

a = 6.436 Å, b = 6.436 Å, c = 12.584 Å
α = 90.00°, β = 90.00°, γ = 148.43°
Positions (direct):
Sr  0.100  0.900  0.750
Sr  0.900  0.100  0.250
Ce  0.369  0.631  0.534
Ce  0.369  0.631  0.966
Ce  0.631  0.369  0.034
Ce  0.631  0.369  0.466
Ta  0.167  0.833  0.250
Ta  0.833  0.167  0.750
N  0.000  0.000  0.000
N  0.000  0.000  0.500
N  0.263  0.737  0.128
N  0.263  0.737  0.372
N  0.420  0.580  0.750
N  0.580  0.420  0.250
N  0.737  0.263  0.628
N  0.737  0.263  0.872

---

No. 8
The following is a PBE-GGA calculation of a geometry-optimized SrCeTaN3 structure, from Alexandria via LeMat-Bulk.

Crystal system ... monoclinic
N(E_F) ... 7.628 states/eV/cell
Energy ... -8.4079 eV/atom
SG ... P2_1/m

a = 7.705 Å, b = 3.673 Å, c = 8.116 Å
α = 90.00°, β = 96.57°, γ = 90.00°
Positions (direct):
Sr  0.161  0.250  0.160
Sr  0.839  0.750  0.840
Ce  0.385  0.750  0.838
Ce  0.615  0.250  0.162
Ta  0.107  0.250  0.599
Ta  0.893  0.750  0.401
N  0.112  0.250  0.836
N  0.163  0.750  0.508
N  0.415  0.750  0.113
N  0.585  0.250  0.887
N  0.837  0.250  0.492
N  0.888  0.750  0.164